The following is a DFT calculation (PBE) of a relaxed structure of Pr7Dy2In2.

POSCAR file:
```
Pr7Dy2In2
1.0
-0.621 -1.606 3.301
-8.049 -6.636 -2.643
2.786 -10.135 -2.308
Pr In Dy
7 2 2
Cartesian
-1.945 -12.901 -0.345 Pr
0.215 -4.847 1.881 Pr
2.095 -10.816 -0.670 Pr
-2.772 -14.605 -3.429 Pr
-3.516 -7.264 0.003 Pr
0.061 -6.768 -1.182 Pr
-4.485 -10.430 -1.720 Pr
-5.793 -7.365 -2.574 In
-1.225 -9.743 -0.773 In
-2.259 -3.932 -0.239 Dy
-5.429 -13.862 -1.468 Dy
```

Values from the calculation:
Energy of formation from the pure elements ... -45.2 kJ/mol of formula units
Density ... 6.8 Mg/m³
Size of the total moment ... 0.000 μB per cell

The following is a DFT calculation (PBE) of a relaxed structure of Lu2ZrRu.

POSCAR file:
```
Lu2ZrRu
1.0
-2.256 -1.941 -1.519
2.376 -1.165 -2.040
1.568 -5.879 5.182
Zr Lu Ru
1 2 1
Cartesian
0.844 -4.492 0.811 Zr
0.318 -1.193 1.052 Lu
1.250 -4.686 4.131 Lu
0.060 -1.553 -1.780 Ru
```

Values from the calculation:
Energy of formation from the pure elements ... -92.8 kJ/mol of formula units
Density ... 10.1 Mg/m³
Size of the total moment ... 0.000 μB per cell

The following is a DFT calculation (PBE) of a relaxed structure of Ac6Pr2Tl.

POSCAR file:
```
Ac6Pr2Tl
1.0
-2.358 3.036 -0.996
-8.125 -4.969 4.094
5.693 6.354 5.886
Ac Tl Pr
6 1 2
Cartesian
-2.256 -1.380 1.137 Ac
-6.544 -3.205 5.728 Ac
-2.092 2.038 3.248 Ac
-1.756 1.001 7.210 Ac
-5.747 0.518 7.273 Ac
-6.255 -1.586 2.060 Ac
-1.179 1.518 -0.498 Tl
1.088 2.580 5.289 Pr
-3.519 -1.195 4.691 Pr
```

Values from the calculation:
Energy of formation from the pure elements ... -60.4 kJ/mol of formula units
Density ... 8.3 Mg/m³
Size of the total moment ... 0.000 μB per cell